1.
The following is a PBE calculation of a geometry-optimized NaInSn2 structure, from Alexandria via LeMat-Bulk.

```
data_NaInSn2
_chemical_formula_sum 'Na1 In1 Sn2'
_space_group_name_H-M_alt 'P 4/m m m'
_space_group_IT_number 123
_space_group_name_Hall '-P 4 2'
_cell_length_a 3.933
_cell_length_b 3.933
_cell_length_c 7.177
_cell_angle_alpha 90.00
_cell_angle_beta 90.00
_cell_angle_gamma 90.00
loop_
_atom_site_label
_atom_site_type_symbol
_atom_site_fract_x
_atom_site_fract_y
_atom_site_fract_z
Na1 Na 0.000 0.000 0.000
In1 In 0.000 0.000 0.500
Sn1 Sn 0.500 0.500 0.281
```

The formation energy from the elements comes out at -0.07 eV per atom. The density of states at the Fermi level comes out at 0.46 states/eV per atom.

2.
The following is a PBE calculation of a geometry-optimized CaAc2Zn4 structure, from Alexandria via LeMat-Bulk.

```
data_CaAc2Zn4
_chemical_formula_sum 'Ca3 Ac6 Zn12'
_space_group_name_H-M_alt 'R -3 m'
_space_group_IT_number 166
_space_group_name_Hall '-R 3 2"'
_cell_length_a 5.2480
_cell_length_b 5.2480
_cell_length_c 26.4954
_cell_angle_alpha 90.00
_cell_angle_beta 90.00
_cell_angle_gamma 120.00
loop_
_atom_site_label
_atom_site_type_symbol
_atom_site_fract_x
_atom_site_fract_y
_atom_site_fract_z
Ca1 Ca 0.0000 0.0000 0.0000
Ac1 Ac 0.0000 0.0000 0.2461
Zn1 Zn 0.0000 0.0000 0.1251
Zn2 Zn 0.0000 0.0000 0.3700
```

The formation energy from the elements comes out at -0.05 eV per atom. The density of states at the Fermi level comes out at 0.74 states/eV per atom.

3.
The following is a PBE calculation of a geometry-optimized AcFeSb2 structure, from Alexandria via LeMat-Bulk.

```
data_AcFeSb2
_chemical_formula_sum 'Ac3 Fe3 Sb6'
_space_group_name_H-M_alt 'R -3 m'
_space_group_IT_number 166
_space_group_name_Hall '-R 3 2"'
_cell_length_a 4.2886
_cell_length_b 4.2886
_cell_length_c 19.3143
_cell_angle_alpha 90.00
_cell_angle_beta 90.00
_cell_angle_gamma 120.00
loop_
_atom_site_label
_atom_site_type_symbol
_atom_site_fract_x
_atom_site_fract_y
_atom_site_fract_z
Ac1 Ac 0.0000 0.0000 0.0000
Fe1 Fe 0.0000 0.0000 0.5000
Sb1 Sb 0.0000 0.0000 0.2197
```

For the energy above the most stable polymorph in this dataset, the calculation gives 0 meV/atom. The density of states at the Fermi level comes out at 1.04 states/eV per atom. For the formation energy from raw total energies, the calculation gives -0.330 eV/atom.

4.
The following is a PBE calculation of a geometry-optimized NdTm3Pt2 structure, from Alexandria via LeMat-Bulk.

```
data_NdTm3Pt2
_chemical_formula_sum 'Nd2 Tm6 Pt4'
_space_group_name_H-M_alt 'P m c 21'
_space_group_IT_number 26
_cell_length_a 4.759
_cell_length_b 8.784
_cell_length_c 7.137
_cell_angle_alpha 90.00
_cell_angle_beta 90.00
_cell_angle_gamma 90.00
loop_
_space_group_symop_operation_xyz
'x,y,z'
'-x,-y,z+1/2'
'-x,y,z'
'x,-y,z+1/2'
loop_
_atom_site_label
_atom_site_type_symbol
_atom_site_fract_x
_atom_site_fract_y
_atom_site_fract_z
Nd1 Nd 0.000 0.080 0.000
Tm1 Tm 0.000 0.334 0.634
Tm2 Tm 0.500 0.178 0.348
Tm3 Tm 0.500 0.422 0.979
Pt1 Pt 0.000 0.349 0.238
Pt2 Pt 0.500 0.164 0.743
```

The formation energy from the elements comes out at -0.96 eV per atom. For the energy above the most stable polymorph in this dataset, the calculation gives 0 meV/atom. The density of states at the Fermi level comes out at 0.92 states/eV per atom.

5.
The following is a PBE calculation of a geometry-optimized AlInBi3 structure, from Alexandria via LeMat-Bulk.

```
data_AlInBi3
_chemical_formula_sum 'Al1 In1 Bi3'
_space_group_name_H-M_alt 'P m -3 m'
_space_group_IT_number 221
_space_group_name_Hall '-P 4 2 3'
_cell_length_a 5.539
_cell_length_b 5.539
_cell_length_c 5.539
_cell_angle_alpha 90.00
_cell_angle_beta 90.00
_cell_angle_gamma 90.00
loop_
_atom_site_label
_atom_site_type_symbol
_atom_site_fract_x
_atom_site_fract_y
_atom_site_fract_z
Al1 Al 0.000 0.000 0.000
In1 In 0.500 0.500 0.500
Bi1 Bi 0.000 0.000 0.500
```

The formation energy from the elements comes out at 0.41 eV per atom. For the energy above the most stable polymorph in this dataset, the calculation gives 0 meV/atom. The density of states at the Fermi level comes out at 1.01 states/eV per atom.

6.
The following is a PBE calculation of a geometry-optimized SrCuSnHg2 structure, from Alexandria via LeMat-Bulk.

```
data_SrCuSnHg2
_chemical_formula_sum 'Sr1 Cu1 Sn1 Hg2'
_space_group_name_H-M_alt 'P 4/m m m'
_space_group_IT_number 123
_space_group_name_Hall '-P 4 2'
_cell_length_a 5.131
_cell_length_b 5.131
_cell_length_c 5.187
_cell_angle_alpha 90.00
_cell_angle_beta 90.00
_cell_angle_gamma 90.00
loop_
_atom_site_label
_atom_site_type_symbol
_atom_site_fract_x
_atom_site_fract_y
_atom_site_fract_z
Sr1 Sr 0.000 0.000 0.000
Cu1 Cu 0.500 0.500 0.500
Sn1 Sn 0.500 0.500 0.000
Hg1 Hg 0.000 0.500 0.500
```

The formation energy from the elements comes out at -0.16 eV per atom. The density of states at the Fermi level comes out at 0.60 states/eV per atom.

7.
The following is a PBE calculation of a geometry-optimized GaSnHg2 structure, from Alexandria via LeMat-Bulk.

```
data_GaSnHg2
_chemical_formula_sum 'Ga1 Sn1 Hg2'
_space_group_name_H-M_alt 'P 4/m m m'
_space_group_IT_number 123
_space_group_name_Hall '-P 4 2'
_cell_length_a 4.608
_cell_length_b 4.608
_cell_length_c 4.566
_cell_angle_alpha 90.00
_cell_angle_beta 90.00
_cell_angle_gamma 90.00
loop_
_atom_site_label
_atom_site_type_symbol
_atom_site_fract_x
_atom_site_fract_y
_atom_site_fract_z
Ga1 Ga 0.000 0.000 0.000
Sn1 Sn 0.500 0.500 0.000
Hg1 Hg 0.000 0.500 0.500
```

The formation energy from the elements comes out at 0.09 eV per atom. For the energy above the most stable polymorph in this dataset, the calculation gives 30 meV/atom. The density of states at the Fermi level comes out at 0.49 states/eV per atom.

8.
The following is a PBE calculation of a geometry-optimized TcHgBr4 structure, from Alexandria via LeMat-Bulk.

```
data_TcHgBr4
_chemical_formula_sum 'Tc2 Hg2 Br8'
_space_group_name_H-M_alt 'P -1'
_space_group_IT_number 2
_cell_length_a 7.713
_cell_length_b 7.853
_cell_length_c 8.301
_cell_angle_alpha 113.78
_cell_angle_beta 97.68
_cell_angle_gamma 108.74
loop_
_space_group_symop_operation_xyz
'x,y,z'
'-x,-y,-z'
loop_
_atom_site_label
_atom_site_type_symbol
_atom_site_fract_x
_atom_site_fract_y
_atom_site_fract_z
Tc1 Tc 0.157 0.059 0.038
Hg1 Hg 0.311 0.631 0.084
Br1 Br 0.226 0.768 0.834
Br2 Br 0.246 0.210 0.826
Br3 Br 0.256 0.986 0.294
Br4 Br 0.279 0.422 0.286
```

For the energy above the most stable polymorph in this dataset, the calculation gives 0 meV/atom. For the formation energy from raw total energies, the calculation gives -0.404 eV/atom.

9.
The following is a PBE calculation of a geometry-optimized TaMnBe2 structure, from Alexandria via LeMat-Bulk.

```
data_TaMnBe2
_chemical_formula_sum 'Ta2 Mn2 Be4'
_space_group_name_H-M_alt 'I 4/m m m'
_space_group_IT_number 139
_space_group_name_Hall '-I 4 2'
_cell_length_a 3.735
_cell_length_b 3.735
_cell_length_c 6.579
_cell_angle_alpha 90.00
_cell_angle_beta 90.00
_cell_angle_gamma 90.00
loop_
_atom_site_label
_atom_site_type_symbol
_atom_site_fract_x
_atom_site_fract_y
_atom_site_fract_z
Ta1 Ta 0.000 0.000 0.000
Mn1 Mn 0.000 0.000 0.500
Be1 Be 0.000 0.500 0.250
```

The formation energy from the elements comes out at 0.01 eV per atom. For the energy above the most stable polymorph in this dataset, the calculation gives 128 meV/atom. The density of states at the Fermi level comes out at 0.44 states/eV per atom.

10.
The following is a PBE calculation of a geometry-optimized Y2AlIn structure, from Alexandria via LeMat-Bulk.

```
data_Y2AlIn
_chemical_formula_sum 'Y4 Al2 In2'
_space_group_name_H-M_alt 'C 1 2/m 1'
_space_group_IT_number 12
_cell_length_a 9.549
_cell_length_b 3.627
_cell_length_c 6.461
_cell_angle_alpha 90.00
_cell_angle_beta 102.10
_cell_angle_gamma 90.00
loop_
_space_group_symop_operation_xyz
'x,y,z'
'-x,-y,-z'
'-x,y,-z'
'x,-y,z'
'x+1/2,y+1/2,z'
'-x+1/2,-y+1/2,-z'
'-x+1/2,y+1/2,-z'
'x+1/2,-y+1/2,z'
loop_
_atom_site_label
_atom_site_type_symbol
_atom_site_fract_x
_atom_site_fract_y
_atom_site_fract_z
Y1 Y 0.246 0.000 0.238
Al1 Al 0.000 0.500 0.000
In1 In 0.000 0.000 0.500
```

The formation energy from the elements comes out at -0.26 eV per atom. The density of states at the Fermi level comes out at 0.80 states/eV per atom.

11.
The following is a PBE calculation of a geometry-optimized Ba2Sn4Ir structure, from Alexandria via LeMat-Bulk.

```
data_Ba2Sn4Ir
_chemical_formula_sum 'Ba4 Sn8 Ir2'
_space_group_name_H-M_alt 'I 4/m m m'
_space_group_IT_number 139
_space_group_name_Hall '-I 4 2'
_cell_length_a 5.174
_cell_length_b 5.174
_cell_length_c 17.982
_cell_angle_alpha 90.00
_cell_angle_beta 90.00
_cell_angle_gamma 90.00
loop_
_atom_site_label
_atom_site_type_symbol
_atom_site_fract_x
_atom_site_fract_y
_atom_site_fract_z
Ba1 Ba 0.000 0.000 0.153
Sn1 Sn 0.000 0.000 0.348
Sn2 Sn 0.000 0.500 0.000
Ir1 Ir 0.000 0.000 0.500
```

The formation energy from the elements comes out at -0.25 eV per atom. The density of states at the Fermi level comes out at 1.39 states/eV per atom.

12.
The following is a PBE calculation of a geometry-optimized MnNb3C structure, from Alexandria via LeMat-Bulk.

```
data_MnNb3C
_chemical_formula_sum 'Mn1 Nb3 C1'
_space_group_name_H-M_alt 'P m -3 m'
_space_group_IT_number 221
_space_group_name_Hall '-P 4 2 3'
_cell_length_a 4.259
_cell_length_b 4.259
_cell_length_c 4.259
_cell_angle_alpha 90.00
_cell_angle_beta 90.00
_cell_angle_gamma 90.00
loop_
_atom_site_label
_atom_site_type_symbol
_atom_site_fract_x
_atom_site_fract_y
_atom_site_fract_z
Mn1 Mn 0.000 0.000 0.000
Nb1 Nb 0.000 0.500 0.500
C1 C 0.500 0.500 0.500
```

The formation energy from the elements comes out at 0.16 eV per atom. For the energy above the most stable polymorph in this dataset, the calculation gives 0 meV/atom. The density of states at the Fermi level comes out at 2.29 states/eV per atom.

13.
The following is a PBE calculation of a geometry-optimized CaNpI5 structure, from Alexandria via LeMat-Bulk.

```
data_CaNpI5
_chemical_formula_sum 'Ca4 Np4 I20'
_space_group_name_H-M_alt 'C 1 2/c 1'
_space_group_IT_number 15
_cell_length_a 12.169
_cell_length_b 10.717
_cell_length_c 12.305
_cell_angle_alpha 90.00
_cell_angle_beta 116.81
_cell_angle_gamma 90.00
loop_
_space_group_symop_operation_xyz
'x,y,z'
'-x,-y,-z'
'-x,y,-z+1/2'
'x,-y,z+1/2'
'x+1/2,y+1/2,z'
'-x+1/2,-y+1/2,-z'
'-x+1/2,y+1/2,-z+1/2'
'x+1/2,-y+1/2,z+1/2'
loop_
_atom_site_label
_atom_site_type_symbol
_atom_site_fract_x
_atom_site_fract_y
_atom_site_fract_z
Ca1 Ca 0.000 0.068 0.250
Np1 Np 0.250 0.250 0.000
I1 I 0.000 0.234 0.750
I2 I 0.106 0.275 0.150
I3 I 0.231 0.037 0.496
```

The density of states at the Fermi level comes out at 0.72 states/eV per atom. For the formation energy from raw total energies, the calculation gives -1.098 eV/atom.

14.
The following is a PBE calculation of a geometry-optimized NdMg9Sc2 structure, from Alexandria via LeMat-Bulk.

```
data_NdMg9Sc2
_chemical_formula_sum 'Nd3 Mg27 Sc6'
_space_group_name_H-M_alt 'R -3 m'
_space_group_IT_number 166
_space_group_name_Hall '-R 3 2"'
_cell_length_a 5.9408
_cell_length_b 5.9408
_cell_length_c 28.8800
_cell_angle_alpha 90.00
_cell_angle_beta 90.00
_cell_angle_gamma 120.00
loop_
_atom_site_label
_atom_site_type_symbol
_atom_site_fract_x
_atom_site_fract_y
_atom_site_fract_z
Nd1 Nd 0.0000 0.0000 0.0000
Mg1 Mg 0.0000 0.0000 0.3341
Mg2 Mg 0.0000 0.0000 0.5000
Mg3 Mg 0.0063 0.5031 0.9133
Sc1 Sc 0.0000 0.0000 0.1462
```

The formation energy from the elements comes out at 0.00 eV per atom. The density of states at the Fermi level comes out at 0.96 states/eV per atom.